Compound: KCaTeI2
Source: Alexandria via LeMat-Bulk
Functional: meta-GGA SCAN
Structure: PBEsol geometry

Values from the calculation:
As for the raw formation energy: -1.2206 eV per atom. The value obtained for the volume is 218.96 Å³/cell. The theoretical density comes out at 3.49 g/cm³. The total energy comes out at -134.8 eV/cell. Its crystal system is tetragonal.

```
data_KCaTeI2
_cell_length_a 6.048
_cell_length_b 6.048
_cell_length_c 5.985
_cell_angle_alpha 90.00
_cell_angle_beta 90.00
_cell_angle_gamma 90.00
_symmetry_space_group_name_H-M 'P 4/m m m'
_symmetry_Int_Tables_number 123
_symmetry_space_group_name_Hall '-P 4 2'
loop_
_atom_site_label
_atom_site_type_symbol
_atom_site_fract_x
_atom_site_fract_y
_atom_site_fract_z
K1 K 0.000 0.000 0.000
Ca1 Ca 0.500 0.500 0.500
Te1 Te 0.500 0.500 0.000
I1 I 0.000 0.500 0.500
```